An optimized crystal structure of KErPaSe4, computed with PBE.

Cell lengths 8.715, 8.715, 8.715 Å; angles 120.31, 118.49, 91.05 degrees
Fractional positions:
K  0.383  0.133  0.250
K  0.617  0.867  0.750
Er  0.000  0.000  0.500
Er  0.000  0.500  0.000
Pa  0.000  0.500  0.500
Pa  0.500  0.500  0.000
Se  0.193  0.733  0.460
Se  0.227  0.267  0.960
Se  0.235  0.272  0.537
Se  0.235  0.699  0.963
Se  0.765  0.301  0.037
Se  0.765  0.728  0.463
Se  0.773  0.733  0.040
Se  0.807  0.267  0.540

* M_tot: 2.016 μB/cell
* SG: Imma
* theoretical density: 5.299 g/cm3
* E_form (uncorrected): -1.51 eV/atom


An optimized crystal structure of K3ErPa3Te8, computed with PBE.

Cell lengths 9.947, 9.947, 9.947 Å; angles 52.27, 52.27, 52.27 degrees
Fractional positions:
K  0.000  0.500  0.500
K  0.500  0.000  0.500
K  0.500  0.500  0.000
Er  0.500  0.500  0.500
Pa  0.000  0.000  0.500
Pa  0.000  0.500  0.000
Pa  0.500  0.000  0.000
Te  0.238  0.238  0.238
Te  0.238  0.736  0.736
Te  0.264  0.264  0.762
Te  0.264  0.762  0.264
Te  0.736  0.238  0.736
Te  0.736  0.736  0.238
Te  0.762  0.264  0.264
Te  0.762  0.762  0.762

* M_tot: 5.033 μB/cell
* SG: R-3m
* theoretical density: 5.826 g/cm3
* E_form (uncorrected): -1.02 eV/atom


An optimized crystal structure of K3Er3PaTe8, computed with PBE.

Cell lengths 9.810, 9.810, 9.810 Å; angles 53.77, 53.77, 53.77 degrees
Fractional positions:
K  0.000  0.500  0.500
K  0.500  0.000  0.500
K  0.500  0.500  0.000
Er  0.000  0.000  0.500
Er  0.000  0.500  0.000
Er  0.500  0.000  0.000
Pa  0.500  0.500  0.500
Te  0.232  0.737  0.737
Te  0.235  0.235  0.235
Te  0.263  0.263  0.768
Te  0.263  0.768  0.263
Te  0.737  0.232  0.737
Te  0.737  0.737  0.232
Te  0.765  0.765  0.765
Te  0.768  0.263  0.263

* M_tot: 1.031 μB/cell
* SG: R-3m
* theoretical density: 5.447 g/cm3
* E_form (uncorrected): -1.27 eV/atom


An optimized crystal structure of K2ErPaTe4, computed with PBE.

Cell lengths 7.746, 4.415, 8.721 Å; angles 90.00, 106.81, 90.00 degrees
Fractional positions:
K  0.000  0.000  0.000
K  0.500  0.500  0.000
Er  0.000  0.500  0.500
Pa  0.500  0.000  0.500
Te  0.233  0.000  0.709
Te  0.257  0.500  0.286
Te  0.743  0.500  0.714
Te  0.767  0.000  0.291

* M_tot: 1.969 μB/cell
* SG: P2/m
* theoretical density: 5.740 g/cm3
* E_form (uncorrected): -1.13 eV/atom


An optimized crystal structure of K2ErPa2Te6, computed with PBE.

Cell lengths 7.592, 7.592, 8.922 Å; angles 98.20, 98.20, 119.99 degrees
Fractional positions:
K  0.167  0.833  0.000
K  0.833  0.167  0.000
Er  0.000  0.000  0.500
Pa  0.333  0.667  0.500
Pa  0.667  0.333  0.500
Te  0.073  0.401  0.710
Te  0.263  0.263  0.291
Te  0.401  0.073  0.710
Te  0.599  0.927  0.290
Te  0.737  0.737  0.709
Te  0.927  0.599  0.290

* M_tot: 3.030 μB/cell
* SG: C2/m
* theoretical density: 5.731 g/cm3
* E_form (uncorrected): -1.06 eV/atom


An optimized crystal structure of KErPb, computed with PBE.

Cell lengths 5.391, 5.391, 8.228 Å; angles 90.00, 90.00, 90.00 degrees
Fractional positions:
K  0.250  0.250  0.132
K  0.750  0.750  0.868
Er  0.250  0.750  0.500
Er  0.750  0.250  0.500
Pb  0.250  0.250  0.690
Pb  0.750  0.750  0.310

* M_tot: 0.000 μB/cell
* SG: P4/nmm
* energy relative to the elements: -0.256 eV per atom
* theoretical density: 5.743 g/cm3


Which of these has the highest M_tot?
K3ErPa3Te8


What is the M_tot in the third record?
1.031 μB/cell


M_tot of number 5 (K2ErPa2Te6)?
3.030 μB/cell